VASP calculation (PBEsol) on a relaxed HgMoRu crystal.

Output
Distance to the lowest polymorph of the same formula ... 0 meV per atom
Calculated formation energy ... 78.1 kJ/mol of atoms
Raw total energy ... -6.693 eV per atom

a b c (Å): 6.0640 6.0640 6.0640
angles (deg): 90.00 90.00 90.00
Last column: nearest neighbours and their distance in Å.
Space group F-43m (No. 216)
Symmetry-distinct sites (fractional):
Hg 0.0000 0.0000 0.0000 x4  4 Ru 2.63
Mo 0.0000 0.0000 0.5000 x4  4 Ru 2.63
Ru 0.2500 0.2500 0.7500 x4  4 Hg 2.63, 4 Mo 2.63